# 1
A relaxed BaCaCo2Sb crystal. Source: Alexandria via LeMat-Bulk, functional PBE.

Cell lengths 4.8507, 4.8507, 5.9475 Å; angles 90.00, 90.00, 90.00 degrees
Fractional positions:
Ba  0.0000  0.0000  0.0000
Ca  0.0000  0.0000  0.5000
Co  0.0000  0.5000  0.0000
Co  0.5000  0.0000  0.0000
Sb  0.5000  0.5000  0.5000

Properties
Raw formation energy ... 1.3995 eV/atom
Calculated volume ... 139.9 Å³ per cell

# 2
A relaxed BaSrCa2Co crystal. Source: Alexandria via LeMat-Bulk, functional PBE.

Cell lengths 5.7006, 5.7006, 5.8988 Å; angles 90.00, 90.00, 90.00 degrees
Fractional positions:
Ba  0.0000  0.0000  0.0000
Sr  0.5000  0.5000  0.0000
Ca  0.0000  0.5000  0.5000
Ca  0.5000  0.0000  0.5000
Co  0.5000  0.5000  0.5000

Properties
ΔH_f (0 K) ... 0.180 eV/atom
Calculated volume ... 191.7 Å³ per cell

# 3
A relaxed BaSrCaCo2 crystal. Source: Alexandria via LeMat-Bulk, functional PBE.

Cell lengths 5.1950, 5.1950, 5.8765 Å; angles 90.00, 90.00, 90.00 degrees
Fractional positions:
Ba  0.0000  0.0000  0.0000
Sr  0.5000  0.5000  0.0000
Ca  0.0000  0.0000  0.5000
Co  0.0000  0.5000  0.5000
Co  0.5000  0.0000  0.5000

Properties
ΔH_f (0 K) ... 1.149 eV/atom
Calculated volume ... 158.6 Å³ per cell

# 4
A relaxed BaSrCa2Co crystal. Source: Alexandria via LeMat-Bulk, functional PBE.

Cell lengths 5.7438, 5.7438, 5.9254 Å; angles 90.00, 90.00, 90.00 degrees
Fractional positions:
Ba  0.0000  0.0000  0.0000
Sr  0.5000  0.5000  0.0000
Ca  0.0000  0.5000  0.5000
Ca  0.5000  0.0000  0.5000
Co  0.0000  0.0000  0.5000

Properties
ΔH_f (0 K) ... 0.181 eV/atom
Calculated volume ... 195.5 Å³ per cell

# 5
A relaxed BaCa2CoTe crystal. Source: Alexandria via LeMat-Bulk, functional PBE.

Cell lengths 5.3491, 5.3491, 5.6595 Å; angles 90.00, 90.00, 90.00 degrees
Fractional positions:
Ba  0.0000  0.0000  0.0000
Ca  0.0000  0.5000  0.5000
Ca  0.5000  0.0000  0.5000
Co  0.0000  0.0000  0.5000
Te  0.5000  0.5000  0.0000

Properties
Raw formation energy ... -0.2955 eV/atom
Calculated volume ... 161.9 Å³ per cell

# 6
A relaxed Ba2CaCoTe crystal. Source: Alexandria via LeMat-Bulk, functional PBE.

Cell lengths 5.7308, 5.7308, 5.3778 Å; angles 90.00, 90.00, 90.00 degrees
Fractional positions:
Ba  0.0000  0.5000  0.0000
Ba  0.5000  0.0000  0.0000
Ca  0.0000  0.0000  0.5000
Co  0.0000  0.0000  0.0000
Te  0.5000  0.5000  0.5000

Properties
Raw formation energy ... -0.3359 eV/atom
Calculated volume ... 176.6 Å³ per cell